Record 1
4
Lattice="0.000 2.473 2.473 2.473 0.000 2.473 2.473 2.473 0.000" Properties=species:S:1:pos:R:3 comment="PBE BeC2N, relaxed" mass_density_g_cm3=2.581 e_form_raw_ev_per_atom=3.12 spacegroup="No. 225" dos_ef_per_ev_atom=0.377 m_tot_mub_per_cell=0.0 polymorph_energy_mev_per_atom=2982 final_energy_ev_per_atom=-4.5040 pbc="T T T"
Be 0.000 0.000 0.000
C 1.237 1.237 1.237
C 3.710 3.710 3.710
N 2.473 2.473 2.473

Record 2
6
Lattice="5.575 0.000 0.000 -2.788 4.828 0.000 0.000 0.000 5.211" Properties=species:S:1:pos:R:3 comment="PBE Zr5Pb, relaxed" mass_density_g_cm3=7.853 spacegroup="No. 189" dos_ef_per_ev_atom=1.158 m_tot_mub_per_cell=0.0 final_energy_ev_per_atom=-7.7938 pbc="T T T"
Zr -1.877 3.251 0.000
Zr 0.911 1.577 0.000
Zr 0.000 3.219 2.606
Zr 2.788 1.609 2.606
Zr 3.754 0.000 0.000
Pb 0.000 0.000 2.606

Record 3
4
Lattice="3.071 0.000 0.000 0.000 3.071 0.000 0.000 0.000 5.485" Properties=species:S:1:pos:R:3 comment="PBE LiZnCu2, relaxed" mass_density_g_cm3=6.403 spacegroup="No. 99" dos_ef_per_ev_atom=0.353 m_tot_mub_per_cell=0.0 final_energy_ev_per_atom=-2.9070 pbc="T T T"
Li 0.000 0.000 0.000
Zn 1.535 1.535 1.470
Cu 0.000 0.000 2.828
Cu 1.535 1.535 4.138

Record 4
12
Lattice="5.025 0.000 0.000 0.000 5.025 0.000 0.000 0.000 15.054" Properties=species:S:1:pos:R:3 comment="PBE Tb2Th9Sc, relaxed" mass_density_g_cm3=10.706 spacegroup="No. 123" dos_ef_per_ev_atom=1.687 m_tot_mub_per_cell=0.0 final_energy_ev_per_atom=-6.8025 pbc="T T T"
Tb 0.000 0.000 2.531
Tb 0.000 0.000 12.523
Th 0.000 2.513 0.000
Th 0.000 2.513 5.075
Th 0.000 2.513 9.979
Th 2.513 0.000 0.000
Th 2.513 0.000 5.075
Th 2.513 0.000 9.979
Th 2.513 2.513 2.542
Th 2.513 2.513 7.527
Th 2.513 2.513 12.512
Sc 0.000 0.000 7.527

Record 5
8
Lattice="2.711 1.565 9.815 -2.711 1.565 9.815 0.000 -3.130 9.815" Properties=species:S:1:pos:R:3 comment="PBE BaLiCa2Tl4, relaxed" mass_density_g_cm3=6.925 spacegroup="No. 166" dos_ef_per_ev_atom=0.902 m_tot_mub_per_cell=0.0 final_energy_ev_per_atom=-2.4885 pbc="T T T"
Ba 0.000 0.000 0.000
Li 0.000 0.000 14.722
Ca 0.000 0.000 7.006
Ca 0.000 0.000 22.438
Tl 0.000 0.000 3.716
Tl 0.000 0.000 11.642
Tl 0.000 0.000 17.803
Tl 0.000 0.000 25.729

Record 6
18
Lattice="5.474 0.000 0.000 -2.737 4.740 0.000 0.000 0.000 10.812" Properties=species:S:1:pos:R:3 comment="PBE NpTcPbO6, relaxed" mass_density_g_cm3=7.555 e_form_raw_ev_per_atom=-1.96 spacegroup="No. 163" m_tot_mub_per_cell=8.0 final_energy_ev_per_atom=-8.2643 pbc="T T T"
Np 0.000 3.160 2.703
Np 2.737 1.580 8.109
Tc 0.000 3.160 8.109
Tc 2.737 1.580 2.703
Pb 0.000 0.000 0.000
Pb 0.000 0.000 5.406
O -0.957 1.767 7.004
O -1.685 3.028 9.214
O 0.957 1.767 9.214
O -0.728 4.686 7.004
O 2.009 0.054 1.598
O 1.052 1.713 3.808
O 1.685 3.028 7.004
O 0.728 4.686 9.214
O 3.465 0.054 3.808
O 1.780 2.974 1.598
O 4.422 1.713 1.598
O 3.694 2.974 3.808

Record 7
5
Lattice="4.725 0.000 0.000 0.000 4.725 0.000 0.000 0.000 4.725" Properties=species:S:1:pos:R:3 comment="PBE YPtW3, relaxed" mass_density_g_cm3=13.155 spacegroup="No. 221" dos_ef_per_ev_atom=0.820 m_tot_mub_per_cell=0.0 polymorph_energy_mev_per_atom=1455 final_energy_ev_per_atom=-7.2347 pbc="T T T"
Y 0.000 0.000 0.000
Pt 2.362 2.362 2.362
W 0.000 0.000 2.362
W 0.000 2.362 0.000
W 2.362 0.000 0.000

Record 8
9
Lattice="-2.146 2.831 6.491 2.146 -2.831 6.491 2.146 2.831 -6.491" Properties=species:S:1:pos:R:3 comment="PBE Sn2Pt6Rh, relaxed" mass_density_g_cm3=15.904 spacegroup="No. 71" dos_ef_per_ev_atom=1.144 m_tot_mub_per_cell=0.0 polymorph_energy_mev_per_atom=81 final_energy_ev_per_atom=-5.8985 pbc="T T T"
Sn 0.000 0.000 2.010
Sn 0.000 0.000 10.972
Pt 2.146 1.480 -1.331
Pt 2.146 0.000 3.775
Pt 2.146 1.480 1.331
Pt 0.000 1.351 5.160
Pt 0.000 2.831 2.716
Pt 0.000 1.351 7.822
Rh 0.000 2.831 0.000

Record 9
8
Lattice="0.000 4.646 5.611 3.880 0.000 5.611 3.880 4.646 0.000" Properties=species:S:1:pos:R:3 comment="PBE LiGe2AuSe4, relaxed" mass_density_g_cm3=5.459 e_form_raw_ev_per_atom=-0.34 spacegroup="No. 42" dos_ef_per_ev_atom=0.061 m_tot_mub_per_cell=0.0 final_energy_ev_per_atom=-3.8810 pbc="T T T"
Li 0.000 0.000 0.000
Ge 1.940 2.323 2.921
Ge 5.820 6.969 8.533
Au 3.880 4.646 5.729
Se 5.842 4.646 3.897
Se 3.880 2.311 6.887
Se 1.918 4.646 3.897
Se 3.880 6.980 6.887

Record 10
5
Lattice="5.167 0.000 0.000 0.000 5.167 0.000 0.000 0.000 5.167" Properties=species:S:1:pos:R:3 comment="PBE BiRhS3, relaxed" mass_density_g_cm3=4.914 e_form_raw_ev_per_atom=1.14 spacegroup="No. 221" dos_ef_per_ev_atom=1.137 m_tot_mub_per_cell=3.3 polymorph_energy_mev_per_atom=996 final_energy_ev_per_atom=-3.5784 pbc="T T T"
Bi 0.000 0.000 0.000
Rh 2.583 2.583 2.583
S 0.000 0.000 2.583
S 0.000 2.583 0.000
S 2.583 0.000 0.000

Record 11
8
Lattice="-2.038 2.038 9.397 2.038 -2.038 9.397 2.038 2.038 -9.397" Properties=species:S:1:pos:R:3 comment="PBE CdGa7, relaxed" mass_density_g_cm3=6.386 spacegroup="No. 139" dos_ef_per_ev_atom=0.309 m_tot_mub_per_cell=0.0 final_energy_ev_per_atom=-2.7333 pbc="T T T"
Cd 0.000 0.000 0.000
Ga 2.038 0.000 2.412
Ga 0.000 0.000 4.674
Ga 2.038 0.000 6.985
Ga 0.000 0.000 9.397
Ga 0.000 2.038 2.412
Ga 0.000 0.000 14.120
Ga 0.000 2.038 6.985

Record 12
6
Lattice="0.000 3.804 3.804 3.804 0.000 3.804 3.804 3.804 0.000" Properties=species:S:1:pos:R:3 comment="PBE CuPbW4, relaxed" mass_density_g_cm3=15.179 spacegroup="No. 216" dos_ef_per_ev_atom=0.953 m_tot_mub_per_cell=0.0 final_energy_ev_per_atom=-9.0221 pbc="T T T"
Cu 0.000 0.000 0.000
Pb 5.706 5.706 5.706
W 2.838 2.838 2.838
W 4.769 4.769 2.838
W 4.769 2.838 4.769
W 2.838 4.769 4.769